Record 1
Compound: Pm4GaRu2
Source: Alexandria
Functional: PBE
Structure: relaxed

It has space group R-3m (No. 166, hexagonal axes), with a = 4.7771 Å, b = 4.7771 Å, c = 28.1161 Å, α = 90.00°, β = 90.00° and γ = 120.00°. The asymmetric unit holds Pm at (0.0000, 0.0000, 0.1154), Pm at (0.0000, 0.0000, 0.2952), Ga at (0.0000, 0.0000, 0.5000) and Ru at (0.0000, 0.0000, 0.4095).

Its volume is 26.46 A^3/atom. The formation energy is -0.2703 eV/atom.

Record 2
Compound: Ba4Sm2Cu2O9
Source: Alexandria
Functional: PBE
Structure: relaxed

It has space group P-4n2 (No. 118), with a = 12.063 Å, b = 12.063 Å, c = 3.896 Å, α = 90.00°, β = 90.00° and γ = 90.00°. The asymmetric unit holds Ba at (0.114, 0.172, 0.239), Sm at (0.110, 0.610, 0.250), Cu at (0.097, 0.403, 0.750), O at (0.000, 0.000, 0.000), O at (0.025, 0.708, 0.749), O at (0.091, 0.409, 0.250) and O at (0.242, 0.742, 0.250).

For the formation energy from raw total energies, the calculation gives -40.19 eV per formula unit. Its volume is 16.67 A^3/atom.

Record 3
Compound: Ta3InCo
Source: Alexandria
Functional: PBE
Structure: relaxed

It has space group Pm-3m (No. 221), with a = 4.619 Å, b = 4.619 Å, c = 4.619 Å, α = 90.00°, β = 90.00° and γ = 90.00°. The asymmetric unit holds Ta at (0.000, 0.000, 0.500), In at (0.500, 0.500, 0.500) and Co at (0.000, 0.000, 0.000).

The energy above the most stable polymorph in this dataset comes out at 0.0 kJ/mol of atoms. Its volume is 19.70 A^3/atom. The formation energy is 0.5739 eV/atom.